1.
# DyPaN2

A geometry-optimized DyPaN2 structure (PBE, Alexandria via LeMat-Bulk).

Calculated values
energy relative to the elements, uncorrected = -1.232 eV/atom
spin magnetization = 0.10 μB per atom

Cell lengths 3.3931, 3.3931, 6.1034 Å; angles 90.00, 90.00, 120.00 degrees
Closest atoms and distances in Å follow each position.
Space group P-3m1 (No. 164)
One atom of each set of equivalent atoms:
Dy (0.0000, 0.0000, 0.0000) [1 per cell]  6 N 2.48
Pa (0.0000, 0.0000, 0.5000) [1 per cell]  6 N 2.48
N (0.3333, 0.6667, 0.7501) [2 per cell]  3 Dy 2.48, 3 Pa 2.48

***

2.
# Pr3SnAsCl

A geometry-optimized Pr3SnAsCl structure (PBE, Alexandria via LeMat-Bulk).

Calculated values
energy relative to the elements, uncorrected = -1.258 eV/atom
spin magnetization = 0.00 μB per atom

Cell lengths 7.5588, 4.3026, 11.3912 Å; angles 90.00, 102.07, 90.00 degrees
Closest atoms and distances in Å follow each position.
Space group P2_1/m (No. 11)
One atom of each set of equivalent atoms:
Pr (0.0460, 0.2500, 0.1590) [2 per cell]  3 As 3.05-3.07, 1 Cl 3.07, 2 Sn 3.30
Pr (0.2257, 0.7500, 0.4987) [2 per cell]  3 Cl 2.97-3.07, 3 Sn 3.20-3.21
Pr (0.4534, 0.7500, 0.8495) [2 per cell]  1 Cl 3.02, 3 As 3.03-3.05, 2 Sn 3.36
Sn (0.1534, 0.2500, 0.6918) [2 per cell]  7 Pr 3.20-3.36
As (0.2656, 0.7500, 0.0599) [2 per cell]  6 Pr 3.03-3.07
Cl (0.3765, 0.2500, 0.3684) [2 per cell]  5 Pr 2.97-3.07

***

3.
# K3MnTl3I8

A geometry-optimized K3MnTl3I8 structure (PBE, Alexandria via LeMat-Bulk).

Calculated values
energy relative to the elements, uncorrected = -0.932 eV/atom
spin magnetization = 0.33 μB per atom

Cell lengths 9.9757, 9.9757, 24.3482 Å; angles 90.00, 90.00, 120.00 degrees
Closest atoms and distances in Å follow each position.
Space group R-3m (No. 166, hexagonal axes)
One atom of each set of equivalent atoms:
K (0.0000, 0.5000, 0.0000) [9 per cell]  6 I 3.51-3.58
Mn (0.0000, 0.0000, 0.0000) [3 per cell]  6 I 2.96
Tl (0.0000, 0.5000, 0.5000) [9 per cell]  6 I 3.53-3.56
I (0.0000, 0.0000, 0.2506) [6 per cell]  3 K 3.51, 3 Tl 3.53
I (0.0536, 0.5268, 0.7372) [18 per cell]  1 Mn 2.96

***

Q: Look up the energy relative to the elements, uncorrected of the second one.
A: -1.258 eV/atom

***

Q: Which value of energy relative to the elements, uncorrected does entry 1 give?
A: -1.232 eV/atom